## AgHPd6Pb2 (GGA-PBE)

Data for a relaxed structure of AgHPd6Pb2.

Values from the calculation:
calculated total energy	-4.615	eV per atom
volume	174	Å³ per cell

a = 4.865 Å, b = 5.708 Å, c = 6.715 Å
α = 99.43°, β = 101.50°, γ = 102.99°
Space group P1 (No. 1)
Inequivalent atoms, fractional coordinates:
Ag (0.000, 0.000, 0.000) (multiplicity 1)
H (0.160, 0.669, 0.552) (multiplicity 1)
Pd (0.186, 0.389, 0.390) (multiplicity 1)
Pd (0.193, 0.901, 0.394) (multiplicity 1)
Pd (0.410, 0.792, 0.813) (multiplicity 1)
Pd (0.593, 0.195, 0.198) (multiplicity 1)
Pd (0.801, 0.592, 0.605) (multiplicity 1)
Pd (0.810, 0.094, 0.601) (multiplicity 1)
Pb (0.417, 0.284, 0.782) (multiplicity 1)
Pb (0.583, 0.698, 0.219) (multiplicity 1)

## SrAlPt3 (GGA-PBE)

Data for a relaxed structure of SrAlPt3.

Values from the calculation:
energy above the lowest structure with this stoichiometry	2.229	eV per atom
calculated formation energy	1.453	eV/atom
calculated total energy	-3.257	eV per atom
volume	140	Å³ per cell

a = 5.194 Å, b = 5.194 Å, c = 5.194 Å
α = 90.00°, β = 90.00°, γ = 90.00°
Space group Pm-3m (No. 221)
Inequivalent atoms, fractional coordinates:
Sr (0.000, 0.000, 0.000) (multiplicity 1)
Al (0.500, 0.500, 0.500) (multiplicity 1)
Pt (0.000, 0.000, 0.500) (multiplicity 3)

## MnSn2Pd2 (GGA-PBE)

Data for a relaxed structure of MnSn2Pd2.

Values from the calculation:
calculated formation energy	-0.125	eV/atom
calculated total energy	-5.638	eV per atom
volume	189	Å³ per cell

a = 7.507 Å, b = 7.507 Å, c = 3.356 Å
α = 90.00°, β = 90.00°, γ = 90.00°
Space group P4/mbm (No. 127)
Inequivalent atoms, fractional coordinates:
Mn (0.000, 0.000, 0.000) (multiplicity 2)
Sn (0.158, 0.342, 0.000) (multiplicity 4)
Pd (0.140, 0.640, 0.500) (multiplicity 4)

## Ac7Ru3 (GGA-PBE)

Data for a relaxed structure of Ac7Ru3.

Values from the calculation:
calculated formation energy	-0.171	eV/atom
calculated total energy	-5.829	eV per atom
volume	661	Å³ per cell

a = 10.5760 Å, b = 10.5760 Å, c = 6.8278 Å
α = 90.00°, β = 90.00°, γ = 120.00°
Space group P6_3mc (No. 186)
Inequivalent atoms, fractional coordinates:
Ac (0.0851, 0.5426, 0.0000) (multiplicity 6)
Ac (0.1247, 0.2494, 0.6686) (multiplicity 6)
Ac (0.3333, 0.6667, 0.4532) (multiplicity 2)
Ru (0.1863, 0.3726, 0.2444) (multiplicity 6)

## BaCa2Ta (GGA-PBE)

Data for a relaxed structure of BaCa2Ta.

Values from the calculation:
energy above the lowest structure with this stoichiometry	0.204	eV per atom
calculated formation energy	0.859	eV/atom
calculated total energy	-3.586	eV per atom
volume	276	Å³ per cell

a = 5.789 Å, b = 5.789 Å, c = 8.224 Å
α = 90.00°, β = 90.00°, γ = 90.00°
Space group I-4m2 (No. 119)
Inequivalent atoms, fractional coordinates:
Ba (0.000, 0.000, 0.000) (multiplicity 2)
Ca (0.000, 0.000, 0.500) (multiplicity 2)
Ca (0.000, 0.500, 0.750) (multiplicity 2)
Ta (0.000, 0.500, 0.250) (multiplicity 2)

## KCd2Ag (GGA-PBE)

Data for a relaxed structure of KCd2Ag.

Values from the calculation:
energy above the lowest structure with this stoichiometry	0.219	eV per atom
calculated formation energy	0.149	eV/atom
calculated total energy	-1.296	eV per atom
volume	211	Å³ per cell

a = 6.439 Å, b = 11.729 Å, c = 3.014 Å
α = 90.00°, β = 112.07°, γ = 90.00°
Space group C2/m (No. 12)
Inequivalent atoms, fractional coordinates:
K (0.000, 0.000, 0.000) (multiplicity 2)
Cd (0.250, 0.250, 0.500) (multiplicity 4)
Ag (0.000, 0.500, 0.000) (multiplicity 2)

## La2MgPtN (GGA-PBE)

Data for a relaxed structure of La2MgPtN.

Values from the calculation:
uncorrected formation energy	-4.5	eV/f.u.
calculated total energy	-6.069	eV per atom
volume	108	Å³ per cell

a = 5.096 Å, b = 5.096 Å, c = 4.168 Å
α = 90.00°, β = 90.00°, γ = 90.00°
Space group P4/mmm (No. 123)
Inequivalent atoms, fractional coordinates:
La (0.000, 0.500, 0.000) (multiplicity 2)
Mg (0.000, 0.000, 0.500) (multiplicity 1)
Pt (0.500, 0.500, 0.500) (multiplicity 1)
N (0.000, 0.000, 0.000) (multiplicity 1)

## LaTbPa (GGA-PBE)

Data for a relaxed structure of LaTbPa.

Values from the calculation:
energy above the lowest structure with this stoichiometry	0.006	eV per atom
calculated formation energy	0.156	eV/atom
calculated total energy	-6.195	eV per atom
volume	183	Å³ per cell

a = 3.407 Å, b = 3.407 Å, c = 15.733 Å
α = 90.00°, β = 90.00°, γ = 90.00°
Space group I4mm (No. 107)
Inequivalent atoms, fractional coordinates:
La (0.000, 0.000, 0.000) (multiplicity 2)
Tb (0.000, 0.000, 0.696) (multiplicity 2)
Pa (0.000, 0.000, 0.346) (multiplicity 2)

## LaCeSi (GGA-PBE)

Data for a relaxed structure of LaCeSi.

Values from the calculation:
energy above the lowest structure with this stoichiometry	0.012	eV per atom
uncorrected formation energy	-1.6	eV/f.u.
calculated total energy	-5.962	eV per atom
volume	239	Å³ per cell

a = 7.6096 Å, b = 7.6096 Å, c = 4.7719 Å
α = 90.00°, β = 90.00°, γ = 120.00°
Space group P-62m (No. 189)
Inequivalent atoms, fractional coordinates:
La (0.0000, 0.5713, 0.0000) (multiplicity 3)
Ce (0.0000, 0.2145, 0.5000) (multiplicity 3)
Si (0.0000, 0.0000, 0.0000) (multiplicity 1)
Si (0.3333, 0.6667, 0.5000) (multiplicity 2)

## Ba5In2Hg (GGA-PBE)

Data for a relaxed structure of Ba5In2Hg.

Values from the calculation:
calculated formation energy	-0.328	eV/atom
calculated total energy	-2.252	eV per atom
volume	1456	Å³ per cell

a = 8.952 Å, b = 8.952 Å, c = 18.171 Å
α = 90.00°, β = 90.00°, γ = 90.00°
Space group I4/mcm (No. 140)
Inequivalent atoms, fractional coordinates:
Ba (0.000, 0.000, 0.000) (multiplicity 4)
Ba (0.171, 0.329, 0.146) (multiplicity 16)
In (0.117, 0.383, 0.500) (multiplicity 8)
Hg (0.000, 0.000, 0.250) (multiplicity 4)

## ScMoPb (GGA-PBE)

Data for a relaxed structure of ScMoPb.

Values from the calculation:
energy above the lowest structure with this stoichiometry	0.506	eV per atom
calculated formation energy	0.620	eV/atom
calculated total energy	-6.337	eV per atom
volume	286	Å³ per cell

a = 6.588 Å, b = 6.588 Å, c = 6.588 Å
α = 90.00°, β = 90.00°, γ = 90.00°
Space group F-43m (No. 216)
Inequivalent atoms, fractional coordinates:
Sc (0.000, 0.000, 0.000) (multiplicity 4)
Mo (0.000, 0.000, 0.500) (multiplicity 4)
Pb (0.250, 0.250, 0.250) (multiplicity 4)

## CoTcCl2 (GGA-PBE)

Data for a relaxed structure of CoTcCl2.

Values from the calculation:
energy above the lowest structure with this stoichiometry	0.736	eV per atom
uncorrected formation energy	2.9	eV/f.u.
calculated total energy	-4.573	eV per atom
volume	136	Å³ per cell

a = 3.534 Å, b = 3.534 Å, c = 10.897 Å
α = 90.00°, β = 90.00°, γ = 90.00°
Space group I-4m2 (No. 119)
Inequivalent atoms, fractional coordinates:
Co (0.000, 0.000, 0.000) (multiplicity 2)
Tc (0.000, 0.500, 0.750) (multiplicity 2)
Cl (0.000, 0.000, 0.500) (multiplicity 2)
Cl (0.000, 0.500, 0.250) (multiplicity 2)

Question: The highest calculated total energy belongs to which entry?
Answer: KCd2Ag

Question: Which of these has the lowest calculated total energy?
Answer: ScMoPb